Below is an optimized crystal structure of KIrRu, with properties calculated at the PBE-GGA level.

As for the mass density: 6.17 Mg/m³. The electronic total energy comes out at -5.798 eV per atom.

The space group is P1 (No. 1) and the conventional cell measures 4.0642, 4.5344 and 11.0926 Å, with angles of 80.32, 79.60 and 63.45 degrees. The asymmetric unit holds K at (0.0000, 0.0000, 0.0000), K at (0.1402, 0.3359, 0.3711), Ir at (0.1086, 0.0839, 0.6897), Ir at (0.4330, 0.4591, 0.6672), Ru at (0.7645, 0.8878, 0.5715) and Ru at (0.7770, 0.6527, 0.7881).